CaZr3H | GGA-PBEsol | optimized geometry

abc: 4.5859 4.5859 4.5859
angles: 90.00 90.00 90.00
Closest atoms and distances in Å follow each position.
Space group Pm-3m (No. 221)
One atom of each set of equivalent atoms:
Ca (0.0000, 0.0000, 0.0000) x1  12 Zr 3.24
Zr (0.0000, 0.5000, 0.5000) x3  2 H 2.29
H (0.5000, 0.5000, 0.5000) x1  6 Zr 2.29

Calculated values
As for the crystal system: cubic. The energy above the most stable polymorph in this dataset comes out at 0 meV per atom. The density comes out at 5.42 Mg/m³.